# 1
DFT (GGA-PBEsol) results for an optimized crystal structure of Sr2ZrCo.

abc: 3.5531 4.8039 6.1548
angles: 90.00 101.63 90.00
Site moments in Bohr magnetons follow the coordinates.
Element x y z (fractional)
Co: 0.5000 0.5000 0.5000  1.03
Sr: 0.8986 0.0000 0.7269  -0.04
Zr: 0.5000 0.5000 0.0000  -0.17
Sr: 0.1014 0.0000 0.2731  -0.04

Results
- ρ: 5251 kg/m³
- Uncorrected energy: -17.05 eV/f.u.
- DOS(E_F): 1.61 states/eV/atom
- Total moment: 0.13 μB/atom
- Formation enthalpy at 0 K: 0.865 eV per atom
- Energy above the lowest structure with this stoichiometry: 594.6 meV/atom

***

# 2
DFT (GGA-PBEsol) results for an optimized crystal structure of SrNd5S8.

abc: 7.3605 7.3605 7.3605
angles: 109.48 109.48 109.45
Element x y z (fractional)
Nd: 0.5030 0.3772 0.6249
S: 0.8749 0.6214 0.5928
S: 0.0286 0.2821 0.4072
Nd: 0.1219 0.4970 0.8742
S: 0.3786 0.9714 0.2535
S: 0.3823 0.4820 0.2538
S: 0.5180 0.7718 0.9003
Nd: 0.7523 0.8781 0.3751
Nd: 0.2500 0.7500 0.5000
S: 0.2282 0.1285 0.7462
S: 0.8715 0.6177 0.0997
Nd: 0.6228 0.2477 0.1258
Sr: 0.0000 0.0000 0.0000
S: 0.7179 0.1251 0.7465

Results
- ρ: 5763 kg/m³
- Uncorrected energy: -92.58 eV/f.u.
- DOS(E_F): 0.36 states/eV/atom
- Total moment: 0.00 μB/atom
- Formation energy without anion corrections: -2.13 eV per atom

***

# 3
DFT (GGA-PBEsol) results for an optimized crystal structure of AsRu2W.

abc: 2.8873 4.3845 4.5033
angles: 90.00 90.00 90.00
Element x y z (fractional)
As: 0.0000 0.5000 0.5000
Ru: 0.5000 0.0000 0.5000
W: 0.5000 0.5000 0.0000
Ru: 0.0000 0.0000 0.0000

Results
- ρ: 13425 kg/m³
- Uncorrected energy: -38.35 eV/f.u.
- DOS(E_F): 0.91 states/eV/atom
- Total moment: 0.00 μB/atom
- Formation enthalpy at 0 K: 0.227 eV per atom

***

# 4
DFT (GGA-PBEsol) results for an optimized crystal structure of Li2ZnAu.

abc: 2.7926 4.4287 4.7107
angles: 90.00 90.00 90.00
Element x y z (fractional)
Li: 0.0000 0.0000 0.0462
Au: 0.5000 0.5000 0.2088
Zn: 0.5000 0.0000 0.5379
Li: 0.0000 0.5000 0.7071

Results
- ρ: 7874 kg/m³
- Uncorrected energy: -10.84 eV/f.u.
- DOS(E_F): 0.26 states/eV/atom
- Total moment: 0.00 μB/atom
- Formation enthalpy at 0 K: -0.351 eV per atom